1.
Cu5Ag4 | OQMD via LeMat-Bulk | PBE | relaxed; E above lowest polymorph = 0.059 eV per atom; energy = -28.98 eV for the cell shown; calculated formation energy = 0.9 eV/f.u.; calculated density = 9.40 g cm⁻³; crystal system = trigonal
1.0
-2.6994 0.5500 0.3925
0.7758 -1.8677 -1.9113
-0.9366 -14.2929 13.5872
Ag Cu
4 5
Direct
0.0000 0.0000 0.5687
0.3333 0.6667 0.0911
0.0000 0.0000 0.2184
0.6667 0.3333 0.3448
0.3333 0.6667 0.7805
0.6667 0.3333 0.9783
0.0000 0.0000 0.8798
0.6667 0.3333 0.6821
0.3333 0.6667 0.4563

***

2.
CsTbAu3Se4 | OQMD via LeMat-Bulk | PBE | relaxed; E above lowest polymorph = 0.000 eV per atom; energy = -70.84 eV for the cell shown; calculated density = 7.87 g cm⁻³; crystal system = monoclinic
1.0
6.0754 0.0000 0.0000
0.0000 7.6930 0.0000
-2.8738 0.0000 10.8175
Au Se Tb Cs
6 8 2 2
Direct
0.8013 0.9378 0.5407
0.1987 0.0622 0.4593
0.1987 0.4378 0.4593
0.9368 0.7500 0.7898
0.0632 0.2500 0.2102
0.8013 0.5622 0.5407
0.6655 0.7500 0.9224
0.5529 0.2500 0.5618
0.3345 0.2500 0.0775
0.1296 0.4714 0.7243
0.1296 0.0286 0.7243
0.8704 0.9714 0.2757
0.4471 0.7500 0.4382
0.8704 0.5286 0.2757
0.3891 0.7500 0.6858
0.6109 0.2500 0.3142
0.2692 0.7500 0.1054
0.7308 0.2500 0.8946

***

3.
KScTa | OQMD via LeMat-Bulk | PBE | relaxed; E above lowest polymorph = 0.000 eV per atom; energy = -13.56 eV for the cell shown; calculated density = 4.23 g cm⁻³; crystal system = cubic
1.0
2.1760 -4.5632 -1.5252
-2.8407 -4.4498 0.1192
-1.5304 -2.2771 -4.5119
Sc Ta K
1 1 1
Direct
0.7500 0.7500 0.7500
0.0000 0.0000 0.0000
0.2500 0.2500 0.2500

***

4.
TmTlIn | OQMD via LeMat-Bulk | PBE | relaxed; E above lowest polymorph = 0.281 eV per atom; energy = -9.67 eV for the cell shown; calculated density = 9.29 g cm⁻³; crystal system = cubic
1.0
0.0000 3.5206 3.5206
3.5206 0.0000 3.5206
3.5206 3.5206 0.0000
In Tm Tl
1 1 1
Direct
0.2500 0.2500 0.2500
0.7500 0.7500 0.7500
0.0000 0.0000 0.0000

***

5.
RbScBAu | OQMD via LeMat-Bulk | PBE | relaxed; E above lowest polymorph = 0.001 eV per atom; energy = -13.80 eV for the cell shown; calculated density = 6.39 g cm⁻³; crystal system = cubic
1.0
0.0000 3.5282 3.5282
3.5282 0.0000 3.5282
3.5282 3.5282 0.0000
Sc Rb Au B
1 1 1 1
Direct
0.0000 0.0000 0.0000
0.5000 0.5000 0.5000
0.7500 0.7500 0.7500
0.2500 0.2500 0.2500

***

6.
RbSn5Au3 | OQMD via LeMat-Bulk | PBE | relaxed; energy = -31.49 eV for the cell shown; calculated density = 8.25 g cm⁻³; crystal system = hexagonal
1.0
5.8667 0.0000 0.0000
-2.9334 5.0807 0.0000
0.0000 0.0000 8.5739
Sn Rb Au
5 1 3
Direct
0.3333 0.6667 0.2169
0.6667 0.3333 0.2169
0.3333 0.6667 0.7831
0.6667 0.3333 0.7831
0.0000 0.0000 0.5000
0.0000 0.0000 0.0000
0.5000 0.5000 0.5000
0.5000 0.0000 0.5000
0.0000 0.5000 0.5000

***

7.
LaTbAu6 | OQMD via LeMat-Bulk | PBE | relaxed; energy = -34.75 eV for the cell shown; calculated formation energy = -5.6 eV/f.u.; calculated density = 14.62 g cm⁻³; crystal system = orthorhombic
1.0
5.0858 0.0000 0.0000
0.0000 6.3670 0.0000
0.0000 0.0000 5.1915
Au Tb La
6 1 1
Direct
0.0000 0.7699 0.3350
0.5000 0.2454 0.6596
0.5000 0.5000 0.1854
0.0000 0.0000 0.8320
0.5000 0.7546 0.6596
0.0000 0.2301 0.3350
0.5000 0.0000 0.1548
0.0000 0.5000 0.8386

***

8.
Sc2Mo4Pb3C3 | OQMD via LeMat-Bulk | PBE | relaxed; energy = -193.13 eV for the cell shown; calculated density = 9.52 g cm⁻³; crystal system = monoclinic
1.0
5.7030 0.0000 0.0000
2.8259 4.9537 0.0000
2.8031 1.6281 13.9699
Sc Pb C Mo
4 6 6 8
Direct
0.6315 0.4719 0.0885
0.3685 0.5281 0.9115
0.5281 0.3685 0.4115
0.4719 0.6315 0.5885
0.7680 0.5843 0.7500
0.0661 0.9339 0.7500
0.4157 0.2320 0.7500
0.9339 0.0661 0.2500
0.5843 0.7680 0.2500
0.2320 0.4157 0.2500
0.8434 0.3280 0.4999
0.0000 0.5000 0.0000
0.6720 0.1566 0.0000
0.3280 0.8434 0.0000
0.1566 0.6720 0.5001
0.5000 0.0000 0.5000
0.8026 0.9840 0.5718
0.9840 0.8026 0.0718
0.6903 0.8495 0.9283
0.8495 0.6903 0.4283
0.0160 0.1974 0.9282
0.3097 0.1505 0.0717
0.1974 0.0160 0.4282
0.1505 0.3097 0.5717

***

9.
LiZrBiOs | OQMD via LeMat-Bulk | PBE | relaxed; E above lowest polymorph = 0.000 eV per atom; energy = -26.63 eV for the cell shown; calculated density = 11.48 g cm⁻³; crystal system = cubic
1.0
0.0000 3.3012 3.3012
3.3012 0.0000 3.3012
3.3012 3.3012 0.0000
Bi Os Li Zr
1 1 1 1
Direct
0.5000 0.5000 0.5000
0.2500 0.2500 0.2500
0.7500 0.7500 0.7500
0.0000 0.0000 0.0000

***

10.
Lu4TlCoN2 | OQMD via LeMat-Bulk | PBE | relaxed; energy = -51.59 eV for the cell shown; calculated density = 11.49 g cm⁻³; crystal system = hexagonal
1.0
3.3815 0.0000 0.0000
-1.6907 2.9284 0.0000
0.0000 0.0000 14.4699
Lu N Co Tl
4 2 1 1
Direct
0.0000 0.0000 0.6807
0.0000 0.0000 0.3193
0.6667 0.3333 0.8674
0.6667 0.3333 0.1326
0.3333 0.6667 0.7609
0.3333 0.6667 0.2391
0.0000 0.0000 0.0000
0.6667 0.3333 0.5000

***

11.
Ho2ZnNi2 | OQMD via LeMat-Bulk | PBE | relaxed; energy = -22.49 eV for the cell shown; calculated formation energy = -0.9 eV/f.u.; calculated density = 8.70 g cm⁻³; crystal system = orthorhombic
1.0
0.0000 2.5230 7.7070
2.5149 0.0000 7.7070
2.5149 2.5230 0.0000
Ho Zn Ni
2 1 2
Direct
0.8850 0.8850 0.1150
0.1150 0.1150 0.8850
0.5000 0.5000 0.5000
0.2500 0.2500 0.2500
0.7500 0.7500 0.7500

***

12.
Li2AlZn2InPd2 | OQMD via LeMat-Bulk | PBE | relaxed; energy = -27.20 eV for the cell shown; calculated density = 6.85 g cm⁻³; crystal system = tetragonal
1.0
4.3831 0.0000 0.0000
0.0000 4.3831 0.0000
0.0000 0.0000 6.2992
Pd Zn In Al Li
2 2 1 1 2
Direct
0.0000 0.5000 0.2292
0.5000 0.0000 0.7708
0.5000 0.5000 0.0000
0.0000 0.0000 0.5000
0.5000 0.5000 0.5000
0.0000 0.0000 0.0000
0.5000 0.0000 0.2384
0.0000 0.5000 0.7616

***

13.
Lu7Fe2Se2 | OQMD via LeMat-Bulk | PBE | relaxed; energy = -62.38 eV for the cell shown; calculated density = 9.99 g cm⁻³; crystal system = orthorhombic
1.0
-4.9077 -3.8307 -6.2971
1.3550 -4.3485 7.5940
-3.9539 5.8308 -5.3649
Lu Se Fe
7 2 2
Direct
0.1842 0.3709 0.8133
0.2096 0.5814 0.6282
0.9533 0.5814 0.3718
0.5942 0.7363 0.8580
0.8783 0.7363 0.1420
0.4973 0.9973 0.5000
0.5577 0.3709 0.1867
0.8368 0.3368 0.5000
0.2372 0.2372 0.0000
0.8063 0.0698 0.7364
0.3334 0.0698 0.2636

***

14.
MgAgPO | OQMD via LeMat-Bulk | PBE | relaxed; E above lowest polymorph = 0.198 eV per atom; energy = -34.32 eV for the cell shown; calculated density = 4.47 g cm⁻³; crystal system = orthorhombic
1.0
-3.2859 0.0570 1.3523
-1.5189 -6.4983 -3.4171
1.6112 -2.4904 4.0198
P Mg O Ag
2 2 2 2
Direct
0.0000 0.4099 0.4450
0.0000 0.5901 0.9450
0.5000 0.8568 0.9841
0.5000 0.1432 0.4841
0.5000 0.0977 0.8646
0.5000 0.9023 0.3646
0.0000 0.7257 0.4603
0.0000 0.2743 0.9603

***

15.
ZnBiO3 | OQMD via LeMat-Bulk | PBE | relaxed; energy = -24.76 eV for the cell shown; calculated density = 8.54 g cm⁻³; crystal system = tetragonal
1.0
3.8303 0.0000 0.0000
0.0000 3.8303 0.0000
0.0000 0.0000 4.2723
O Bi Zn
3 1 1
Direct
0.0000 0.5000 0.6463
0.5000 0.0000 0.6463
0.5000 0.5000 0.0893
0.0000 0.0000 0.9677
0.5000 0.5000 0.5504

***

16.
SrMgSn2Ir | OQMD via LeMat-Bulk | PBE | relaxed; energy = -43.48 eV for the cell shown; calculated density = 7.09 g cm⁻³; crystal system = tetragonal
1.0
4.6701 0.0000 0.0000
0.0000 4.6701 0.0000
0.0000 0.0000 11.6232
Sn Sr Ir Mg
4 2 2 2
Direct
0.0000 0.0000 0.5000
0.5000 0.5000 0.5000
0.0000 0.5000 0.8860
0.5000 0.0000 0.1140
0.5000 0.0000 0.7800
0.0000 0.5000 0.2200
0.5000 0.5000 0.0000
0.0000 0.0000 0.0000
0.0000 0.5000 0.6454
0.5000 0.0000 0.3546

***

17.
YCuMoOs | OQMD via LeMat-Bulk | PBE | relaxed; E above lowest polymorph = 0.009 eV per atom; energy = -31.47 eV for the cell shown; calculated formation energy = 0.8 eV/f.u.; calculated density = 10.66 g cm⁻³; crystal system = cubic
1.0
0.0000 3.2450 3.2450
3.2450 0.0000 3.2450
3.2450 3.2450 0.0000
Cu Mo Y Os
1 1 1 1
Direct
0.7500 0.7500 0.7500
0.0000 0.0000 0.0000
0.5000 0.5000 0.5000
0.2500 0.2500 0.2500

***

18.
BeZnAsO | OQMD via LeMat-Bulk | PBE | relaxed; E above lowest polymorph = 0.066 eV per atom; energy = -36.72 eV for the cell shown; calculated density = 4.60 g cm⁻³; crystal system = tetragonal
1.0
3.4542 0.0000 0.0000
0.0000 3.4542 0.0000
0.0000 0.0000 10.0105
Zn Be As O
2 2 2 2
Direct
0.0000 0.0000 0.5000
0.5000 0.5000 0.5000
0.5000 0.0000 0.9976
0.0000 0.5000 0.0024
0.0000 0.5000 0.3126
0.5000 0.0000 0.6874
0.5000 0.5000 0.0000
0.0000 0.0000 0.0000

***

19.
AcSi2Pt5 | OQMD via LeMat-Bulk | PBE | relaxed; energy = -52.44 eV for the cell shown; calculated density = 14.65 g cm⁻³; crystal system = orthorhombic
1.0
-5.3939 0.3538 3.4764
-1.0458 6.3411 0.0313
0.2056 -5.1641 -3.8203
Si Pt Ac
2 5 1
Direct
0.7413 0.2413 0.5000
0.2587 0.7587 0.5000
0.5456 0.3478 0.1978
0.1500 0.3478 0.8022
0.8500 0.6522 0.1978
0.5000 0.0000 0.5000
0.4544 0.6522 0.8022
0.0000 0.0000 0.0000

***

20.
Na2Hf2Al2PdPt | OQMD via LeMat-Bulk | PBE | relaxed; energy = -44.02 eV for the cell shown; calculated density = 9.18 g cm⁻³; crystal system = tetragonal
1.0
-1.4291 -4.3665 0.0321
2.2470 -0.7644 -3.9340
5.2975 -1.7091 3.3579
Na Pd Hf Al Pt
2 1 2 2 1
Direct
0.0000 0.0000 0.5000
0.5000 0.5000 0.0000
0.0000 0.0000 0.0000
0.0000 0.5000 0.7497
0.5000 0.0000 0.2503
0.0000 0.5000 0.2498
0.5000 0.0000 0.7502
0.5000 0.5000 0.5000

***

21.
GdMgCuSeS2 | OQMD via LeMat-Bulk | PBE | relaxed; energy = -58.28 eV for the cell shown; calculated density = 5.19 g cm⁻³; crystal system = orthorhombic
1.0
-3.9558 0.1539 5.1844
1.8038 -3.2258 -5.3749
7.1773 -5.3775 5.6360
Gd S Se Mg Cu
2 4 2 2 2
Direct
0.0000 0.0000 0.5000
0.0000 0.0000 0.0000
0.6423 0.3577 0.0863
0.6423 0.3577 0.4137
0.3577 0.6423 0.9137
0.3577 0.6423 0.5863
0.1092 0.8908 0.7500
0.8908 0.1092 0.2500
0.7817 0.2183 0.7500
0.2183 0.7817 0.2500
0.5209 0.4791 0.2500
0.4791 0.5209 0.7500

***

22.
NbFeNiSn | OQMD via LeMat-Bulk | PBE | relaxed; E above lowest polymorph = 0.000 eV per atom; energy = -28.42 eV for the cell shown; calculated density = 9.10 g cm⁻³; crystal system = cubic
1.0
-1.6564 -2.2780 -3.3577
-3.7894 1.2307 -1.8257
-0.0316 1.7375 -4.0234
Nb Sn Ni Fe
1 1 1 1
Direct
0.5000 0.5000 0.5000
0.0000 0.0000 0.0000
0.2500 0.2500 0.2500
0.7500 0.7500 0.7500

***

23.
Li2La2Ga2AgAu | OQMD via LeMat-Bulk | PBE | relaxed; energy = -29.36 eV for the cell shown; calculated density = 7.27 g cm⁻³; crystal system = tetragonal
1.0
4.9163 0.0000 0.0000
0.0000 4.9163 0.0000
0.0000 0.0000 6.9542
Li Ag La Au Ga
2 1 2 1 2
Direct
0.0000 0.0000 0.5000
0.5000 0.5000 0.0000
0.0000 0.0000 0.0000
0.0000 0.5000 0.2541
0.5000 0.0000 0.7459
0.5000 0.5000 0.5000
0.0000 0.5000 0.7523
0.5000 0.0000 0.2477

***

24.
Ga2Mo2C | OQMD via LeMat-Bulk | PBE | relaxed; energy = -75.38 eV for the cell shown; calculated density = 7.75 g cm⁻³; crystal system = hexagonal
1.0
-2.0403 2.2633 -0.2870
-0.6619 -2.4491 1.7122
7.0937 8.2362 14.5224
Ga Mo C
4 4 2
Direct
0.6667 0.3333 0.3186
0.3333 0.6667 0.8186
0.6667 0.3333 0.1814
0.3333 0.6667 0.6814
0.3333 0.6667 0.0649
0.6667 0.3333 0.5649
0.6667 0.3333 0.9351
0.3333 0.6667 0.4351
0.0000 0.0000 0.5000
0.0000 0.0000 0.0000